TlPO2F | GGA-PBE | relaxed

For the final energy, the calculation gives -17.161 eV per cell. Its crystal system is tetragonal.

The space group is P4/mmm (No. 123) and the conventional cell measures 4.690, 4.690 and 3.558 Å, with angles of 90.00, 90.00 and 90.00 degrees. The asymmetric unit holds Tl at (0.000, 0.000, 0.000), P at (0.500, 0.500, 0.000), O at (0.000, 0.500, 0.500) and F at (0.500, 0.500, 0.500).

HfNb3 | GGA-PBE | relaxed

For the final energy, the calculation gives -354.664 eV per cell. The polymorph energy (0 for the lowest one) comes out at 162 meV/atom. The calculation puts the formation energy at 0.189 eV/atom. Its crystal system is trigonal.

The space group is R-3m (No. 166, hexagonal axes) and the conventional cell measures 5.6520, 5.6520 and 26.3373 Å, with angles of 90.00, 90.00 and 120.00 degrees. The asymmetric unit holds Hf at (0.0000, 0.0000, 0.0000), Hf at (0.0000, 0.0000, 0.1457), Nb at (0.0000, 0.0000, 0.3330), Nb at (0.0000, 0.0000, 0.5000) and Nb at (0.0040, 0.5020, 0.9158).

LiCaErIn | GGA-PBE | relaxed

For the final energy, the calculation gives -48.939 eV per cell. The calculation puts the formation energy at -0.255 eV/atom. Its crystal system is cubic.

The space group is F-43m (No. 216) and the conventional cell measures 7.530, 7.530 and 7.530 Å, with angles of 90.00, 90.00 and 90.00 degrees. The asymmetric unit holds Li at (0.000, 0.000, 0.000), Ca at (0.250, 0.250, 0.250), Er at (0.250, 0.250, 0.750) and In at (0.000, 0.000, 0.500).

InCoAg2 | GGA-PBE | relaxed

For the final energy, the calculation gives -28.700 eV per cell. The calculation puts the formation energy at 0.299 eV/atom. Its crystal system is orthorhombic.

The space group is Cmmm (No. 65) and the conventional cell measures 5.609, 8.412 and 2.939 Å, with angles of 90.00, 90.00 and 90.00 degrees. The asymmetric unit holds In at (0.000, 0.000, 0.000), Co at (0.000, 0.500, 0.000) and Ag at (0.250, 0.250, 0.500).

In order of appearance, V = 15.65; 20.23; 26.68; 17.34 Å³/atom.